(1)
Li2Tl2Cd2In: optimized geometry, PBE.

Geometry as CIF:
```
data_Li2Tl2Cd2In
_space_group_name_H-M_alt 'C 1 2/m 1'
_space_group_IT_number 12
_cell_length_a 8.651
_cell_length_b 4.703
_cell_length_c 9.173
_cell_angle_alpha 90.00
_cell_angle_beta 113.74
_cell_angle_gamma 90.00
loop_
_space_group_symop_operation_xyz
'x,y,z'
'-x,-y,-z'
'-x,y,-z'
'x,-y,z'
'x+1/2,y+1/2,z'
'-x+1/2,-y+1/2,-z'
'-x+1/2,y+1/2,-z'
'x+1/2,-y+1/2,z'
loop_
_atom_site_label
_atom_site_type_symbol
_atom_site_fract_x
_atom_site_fract_y
_atom_site_fract_z
Li1 Li 0.124 0.000 0.370
Tl1 Tl 0.124 0.500 0.894
Cd1 Cd 0.235 0.000 0.713
In1 In 0.000 0.500 0.500
```

Output
density of states at the Fermi level: 5.09 states/eV per cell
M_tot: 0.00 Bohr magnetons per cell
formation enthalpy at 0 K: -0.094 eV per atom



(2)
AlTlO2: optimized geometry, PBE.

Geometry as CIF:
```
data_AlTlO2
_space_group_name_H-M_alt 'I 4/m c m'
_space_group_IT_number 140
_space_group_name_Hall '-I 4 2c'
_cell_length_a 6.392
_cell_length_b 6.392
_cell_length_c 6.212
_cell_angle_alpha 90.00
_cell_angle_beta 90.00
_cell_angle_gamma 90.00
loop_
_atom_site_label
_atom_site_type_symbol
_atom_site_fract_x
_atom_site_fract_y
_atom_site_fract_z
Al1 Al 0.000 0.000 0.250
Tl1 Tl 0.000 0.500 0.250
O1 O 0.177 0.323 0.000
```

Output
excess energy over the best structure of this formula in the dataset: 1945 meV/atom
energy relative to the elements, uncorrected: -0.184 eV/atom
density of states at the Fermi level: 1.84 states/eV per cell
M_tot: 0.00 Bohr magnetons per cell



(3)
InReTe2: optimized geometry, PBE.

Geometry as CIF:
```
data_InReTe2
_space_group_name_H-M_alt 'P 4 m m'
_space_group_IT_number 99
_cell_length_a 3.214
_cell_length_b 3.214
_cell_length_c 9.565
_cell_angle_alpha 90.00
_cell_angle_beta 90.00
_cell_angle_gamma 90.00
loop_
_space_group_symop_operation_xyz
'x,y,z'
'-y,x,z'
'-x,-y,z'
'y,-x,z'
'-x,y,z'
'y,x,z'
'x,-y,z'
'-y,-x,z'
loop_
_atom_site_label
_atom_site_type_symbol
_atom_site_fract_x
_atom_site_fract_y
_atom_site_fract_z
In1 In 0.000 0.000 0.000
Re1 Re 0.500 0.500 0.197
Te1 Te 0.000 0.000 0.356
Te2 Te 0.500 0.500 0.714
```

Output
energy relative to the elements, uncorrected: 0.313 eV/atom
density of states at the Fermi level: 2.46 states/eV per cell
M_tot: 0.00 Bohr magnetons per cell



(4)
Mg6Ag2Ir: optimized geometry, PBE.

Geometry as CIF:
```
data_Mg6Ag2Ir
_space_group_name_H-M_alt 'P -3 m 1'
_space_group_IT_number 164
_space_group_name_Hall '-P 3 2"'
_cell_length_a 4.7019
_cell_length_b 4.7019
_cell_length_c 8.7957
_cell_angle_alpha 90.00
_cell_angle_beta 90.00
_cell_angle_gamma 120.00
loop_
_atom_site_label
_atom_site_type_symbol
_atom_site_fract_x
_atom_site_fract_y
_atom_site_fract_z
Mg1 Mg 0.0000 0.0000 0.1986
Mg2 Mg 0.3333 0.6667 0.0563
Mg3 Mg 0.3333 0.6667 0.4139
Ag1 Ag 0.3333 0.6667 0.7320
Ir1 Ir 0.0000 0.0000 0.5000
```

Output
excess energy over the best structure of this formula in the dataset: 0 meV/atom
density of states at the Fermi level: 2.98 states/eV per cell
M_tot: 0.00 Bohr magnetons per cell
formation enthalpy at 0 K: -0.173 eV per atom



(5)
Al2CoCu: optimized geometry, PBE.

Geometry as CIF:
```
data_Al2CoCu
_space_group_name_H-M_alt 'P 4 m m'
_space_group_IT_number 99
_cell_length_a 3.156
_cell_length_b 3.156
_cell_length_c 5.237
_cell_angle_alpha 90.00
_cell_angle_beta 90.00
_cell_angle_gamma 90.00
loop_
_space_group_symop_operation_xyz
'x,y,z'
'-y,x,z'
'-x,-y,z'
'y,-x,z'
'-x,y,z'
'y,x,z'
'x,-y,z'
'-y,-x,z'
loop_
_atom_site_label
_atom_site_type_symbol
_atom_site_fract_x
_atom_site_fract_y
_atom_site_fract_z
Al1 Al 0.000 0.000 0.000
Al2 Al 0.500 0.500 0.309
Co1 Co 0.000 0.000 0.503
Cu1 Cu 0.500 0.500 0.783
```

Output
density of states at the Fermi level: 1.89 states/eV per cell
M_tot: 0.77 Bohr magnetons per cell
formation enthalpy at 0 K: -0.222 eV per atom



(6)
Tm3In4Pt4: optimized geometry, PBE.

Geometry as CIF:
```
data_Tm3In4Pt4
_space_group_name_H-M_alt 'I m m m'
_space_group_IT_number 71
_space_group_name_Hall '-I 2 2'
_cell_length_a 3.697
_cell_length_b 8.002
_cell_length_c 16.065
_cell_angle_alpha 90.00
_cell_angle_beta 90.00
_cell_angle_gamma 90.00
loop_
_atom_site_label
_atom_site_type_symbol
_atom_site_fract_x
_atom_site_fract_y
_atom_site_fract_z
Tm1 Tm 0.000 0.000 0.000
Tm2 Tm 0.000 0.500 0.106
In1 In 0.000 0.306 0.334
Pt1 Pt 0.000 0.000 0.248
Pt2 Pt 0.000 0.203 0.500
```

Output
density of states at the Fermi level: 9.00 states/eV per cell
M_tot: 0.00 Bohr magnetons per cell
formation enthalpy at 0 K: -0.870 eV per atom



(7)
PmErMg: optimized geometry, PBE.

Geometry as CIF:
```
data_PmErMg
_space_group_name_H-M_alt 'I 4 m m'
_space_group_IT_number 107
_space_group_name_Hall 'I 4 -2'
_cell_length_a 3.659
_cell_length_b 3.659
_cell_length_c 13.230
_cell_angle_alpha 90.00
_cell_angle_beta 90.00
_cell_angle_gamma 90.00
loop_
_atom_site_label
_atom_site_type_symbol
_atom_site_fract_x
_atom_site_fract_y
_atom_site_fract_z
Pm1 Pm 0.000 0.000 0.000
Er1 Er 0.000 0.000 0.320
Mg1 Mg 0.000 0.000 0.665
```

Output
excess energy over the best structure of this formula in the dataset: 0 meV/atom
density of states at the Fermi level: 8.86 states/eV per cell
M_tot: 0.66 Bohr magnetons per cell
formation enthalpy at 0 K: -0.041 eV per atom



(8)
TePCl2F: optimized geometry, PBE.

Geometry as CIF:
```
data_TePCl2F
_space_group_name_H-M_alt 'P 4/m m m'
_space_group_IT_number 123
_space_group_name_Hall '-P 4 2'
_cell_length_a 5.152
_cell_length_b 5.152
_cell_length_c 5.447
_cell_angle_alpha 90.00
_cell_angle_beta 90.00
_cell_angle_gamma 90.00
loop_
_atom_site_label
_atom_site_type_symbol
_atom_site_fract_x
_atom_site_fract_y
_atom_site_fract_z
Te1 Te 0.000 0.000 0.000
P1 P 0.000 0.000 0.500
Cl1 Cl 0.000 0.500 0.000
F1 F 0.500 0.500 0.500
```

Output
excess energy over the best structure of this formula in the dataset: 299 meV/atom
energy relative to the elements, uncorrected: 0.236 eV/atom
density of states at the Fermi level: 8.18 states/eV per cell
M_tot: 1.61 Bohr magnetons per cell